Record 1
Density functional theory data (GGA-PBE) for TeP2PtO after structural relaxation.

Lattice parameters (Å, degrees): 5.0177 5.0177 3.8073 90.00 90.00 90.00
Space group P4/mmm (No. 123)
Unique sites:
Te  0.0000  0.0000  0.0000 [1 per cell]
P  0.0000  0.5000  0.0000 [2 per cell]
Pt  0.5000  0.5000  0.5000 [1 per cell]
O  0.0000  0.0000  0.5000 [1 per cell]

- Total magnetic moment: 0.00 μB per atom
- Raw total energy: -20.96 eV/cell
- Energy above the lowest structure with this stoichiometry: 503 meV/atom
- Formation energy from raw total energies: 0.801 eV/atom

---

Record 2
Density functional theory data (GGA-PBE) for Mn4NiRu after structural relaxation.

Lattice parameters (Å, degrees): 6.5361 6.5361 6.5361 90.00 90.00 90.00
Space group F-43m (No. 216)
Unique sites:
Mn  0.1237  0.1237  0.1237 [16 per cell]
Ni  0.2500  0.2500  0.7500 [4 per cell]
Ru  0.0000  0.0000  0.5000 [4 per cell]

- Total magnetic moment: 0.52 μB per atom
- Raw total energy: -203.43 eV/cell
- DFT formation energy: 0.88 eV per formula unit

---

Record 3
Density functional theory data (GGA-PBE) for Y4ReRu after structural relaxation.

Lattice parameters (Å, degrees): 8.2578 8.2578 8.2578 90.00 90.00 90.00
Space group F-43m (No. 216)
Unique sites:
Y  0.1248  0.1248  0.1248 [16 per cell]
Re  0.2500  0.2500  0.7500 [4 per cell]
Ru  0.0000  0.0000  0.5000 [4 per cell]

- Total magnetic moment: 0.00 μB per atom
- Raw total energy: -162.64 eV/cell
- DFT formation energy: 6.92 eV per formula unit